# Pr6Bi5Cl | Alexandria via LeMat-Bulk | PBE | optimized geometry
# * magnetic moment: 0.000 Bohr magnetons per cell
# * E_form (uncorrected): -23.99 kcal/mol of atoms
data_Pr6Bi5Cl
_chemical_formula_sum 'Pr12 Bi10 Cl2'
_cell_length_a 7.973
_cell_length_b 13.780
_cell_length_c 7.958
_cell_angle_alpha 90.00
_cell_angle_beta 109.53
_cell_angle_gamma 90.00
_space_group_name_H-M_alt 'C 1 2/m 1'
_space_group_IT_number 12
_space_group_name_Hall '-C 2y'
loop_
_atom_site_label
_atom_site_type_symbol
_atom_site_fract_x
_atom_site_fract_y
_atom_site_fract_z
_atom_site_occupancy
Pr1 Pr 0.247 0.000 0.255 1
Pr2 Pr 0.248 0.168 0.750 1
Bi1 Bi 0.000 0.000 0.500 1
Bi2 Bi 0.000 0.166 0.000 1
Bi3 Bi 0.000 0.333 0.500 1
Cl1 Cl 0.000 0.500 0.000 1